[1]
A plane-wave DFT calculation with PBE was carried out for a relaxed RbBi crystal.

Results
- energy above the most stable polymorph in this dataset (meV per atom) = 746
- DOS(E_F) (states/eV/f.u.) = 1.5

Lattice parameters (Å, degrees): 6.5881 6.5881 7.6453 90.00 90.00 120.00
Space group P6_3/mmc (No. 194)
Unique sites:
Rb 0.3333 0.6667 0.2500 [2 per cell]
Bi 0.3333 0.6667 0.7500 [2 per cell]

[2]
A plane-wave DFT calculation with PBE was carried out for a relaxed LiSiRh2 crystal.

Results
- formation energy (no corrections) (eV/atom) = -0.4128
- DOS(E_F) (states/eV/f.u.) = 3.7

Lattice parameters (Å, degrees): 3.5467 3.5467 8.2173 90.00 90.00 90.00
Space group I-4m2 (No. 119)
Unique sites:
Li 0.0000 0.0000 0.0000 [2 per cell]
Si 0.0000 0.5000 0.2500 [2 per cell]
Rh 0.0000 0.0000 0.5000 [2 per cell]
Rh 0.0000 0.5000 0.7500 [2 per cell]

[3]
A plane-wave DFT calculation with PBE was carried out for a relaxed LiFe2Re crystal.

Results
- energy above the most stable polymorph in this dataset (meV per atom) = 101
- DOS(E_F) (states/eV/f.u.) = 3.8

Lattice parameters (Å, degrees): 2.9691 4.2300 8.6236 90.00 90.00 90.00
Space group Cmmm (No. 65)
Unique sites:
Li 0.0000 0.0000 0.0000 [2 per cell]
Fe 0.0000 0.5000 0.2571 [4 per cell]
Re 0.0000 0.0000 0.5000 [2 per cell]

[4]
A plane-wave DFT calculation with PBE was carried out for a relaxed RbPa2Ag2Se6 crystal.

Results
- formation energy (no corrections) (eV/atom) = -0.9890
- DOS(E_F) (states/eV/f.u.) = 6.7

Lattice parameters (Å, degrees): 7.5891 7.6367 7.9068 66.17 64.68 61.26
Space group P-1 (No. 2)
Unique sites:
Rb 0.0000 0.0000 0.0000 [1 per cell]
Pa 0.3324 0.3368 0.9943 [2 per cell]
Ag 0.4431 0.6937 0.5580 [2 per cell]
Se 0.0731 0.6662 0.7699 [2 per cell]
Se 0.3071 0.5601 0.2251 [2 per cell]
Se 0.4701 0.0536 0.7717 [2 per cell]

[5]
A plane-wave DFT calculation with PBE was carried out for a relaxed Ca2Ga2SiO7 crystal.

Results
- formation energy (no corrections) (eV/atom) = -2.5704
- DOS(E_F) (states/eV/f.u.) = 0.0

Lattice parameters (Å, degrees): 5.1773 7.8838 7.9064 90.00 90.66 90.00
Space group P2_1 (No. 4)
Unique sites:
Ca 0.0045 0.0000 0.0993 [2 per cell]
Ca 0.0223 0.1769 0.5721 [2 per cell]
Ga 0.4690 0.9703 0.3933 [2 per cell]
Ga 0.4975 0.8316 0.7582 [2 per cell]
Si 0.4400 0.6841 0.1062 [2 per cell]
O 0.1839 0.4711 0.6120 [2 per cell]
O 0.2492 0.1839 0.8977 [2 per cell]
O 0.2870 0.1631 0.3201 [2 per cell]
O 0.2880 0.7458 0.9291 [2 per cell]
O 0.2901 0.9202 0.5902 [2 per cell]
O 0.2999 0.4982 0.1394 [2 per cell]
O 0.3085 0.8082 0.2510 [2 per cell]

[6]
A plane-wave DFT calculation with PBE was carried out for a relaxed Yb3Hf crystal.

Results
- energy above the most stable polymorph in this dataset (meV per atom) = 19
- DOS(E_F) (states/eV/f.u.) = 5.6

Lattice parameters (Å, degrees): 7.7920 7.7920 7.7920 90.00 90.00 90.00
Space group Fm-3m (No. 225)
Unique sites:
Yb 0.0000 0.0000 0.0000 [4 per cell]
Yb 0.2500 0.2500 0.2500 [8 per cell]
Hf 0.0000 0.0000 0.5000 [4 per cell]

[7]
A plane-wave DFT calculation with PBE was carried out for a relaxed ZrVSiTc2 crystal.

Results
- formation energy (no corrections) (eV/atom) = 0.6105
- DOS(E_F) (states/eV/f.u.) = 6.0

Lattice parameters (Å, degrees): 4.4975 4.4975 4.4326 90.00 90.00 90.00
Space group P4/mmm (No. 123)
Unique sites:
Zr 0.0000 0.0000 0.0000 [1 per cell]
V 0.5000 0.5000 0.5000 [1 per cell]
Si 0.5000 0.5000 0.0000 [1 per cell]
Tc 0.0000 0.5000 0.5000 [2 per cell]

[8]
A plane-wave DFT calculation with PBE was carried out for a relaxed BaAlW2 crystal.

Results
- DOS(E_F) (states/eV/f.u.) = 4.4
- uncorrected energy (eV for the cell shown) = -51.12

Lattice parameters (Å, degrees): 4.2354 4.2354 9.2560 90.00 90.00 90.00
Space group I4/mmm (No. 139)
Unique sites:
Ba 0.0000 0.0000 0.0000 [2 per cell]
Al 0.0000 0.0000 0.5000 [2 per cell]
W 0.0000 0.5000 0.2500 [4 per cell]

[9]
A plane-wave DFT calculation with PBE was carried out for a relaxed Sr5Cr4 crystal.

Results
- energy above the most stable polymorph in this dataset (meV per atom) = 69
- DOS(E_F) (states/eV/f.u.) = 7.6

Lattice parameters (Å, degrees): 10.4753 10.4753 5.5124 90.00 90.00 90.00
Space group I4/mmm (No. 139)
Unique sites:
Sr 0.0000 0.0000 0.0000 [2 per cell]
Sr 0.1782 0.1782 0.5000 [8 per cell]
Cr 0.0000 0.3590 0.0000 [8 per cell]

[10]
A plane-wave DFT calculation with PBE was carried out for a relaxed LiTa4Os crystal.

Results
- DOS(E_F) (states/eV/f.u.) = 6.6
- uncorrected energy (eV for the cell shown) = -228.35

Lattice parameters (Å, degrees): 7.5742 7.5742 7.5742 90.00 90.00 90.00
Space group F-43m (No. 216)
Unique sites:
Li 0.0000 0.0000 0.0000 [4 per cell]
Ta 0.1242 0.1242 0.3758 [16 per cell]
Os 0.2500 0.2500 0.7500 [4 per cell]

[11]
A plane-wave DFT calculation with PBE was carried out for a relaxed Mn2Ru2Au crystal.

Results
- energy above the most stable polymorph in this dataset (meV per atom) = 0
- DOS(E_F) (states/eV/f.u.) = 5.6

Lattice parameters (Å, degrees): 7.1612 7.1612 2.6843 90.00 90.00 90.00
Space group P4/mbm (No. 127)
Unique sites:
Mn 0.1186 0.3814 0.0000 [4 per cell]
Ru 0.1673 0.6673 0.5000 [4 per cell]
Au 0.0000 0.0000 0.0000 [2 per cell]

[12]
A plane-wave DFT calculation with PBE was carried out for a relaxed CeNbGa3 crystal.

Results
- DOS(E_F) (states/eV/f.u.) = 6.2
- uncorrected energy (eV for the cell shown) = -54.44

Lattice parameters (Å, degrees): 6.3900 6.3900 5.8441 90.00 90.00 120.00
Space group P6_3/mmc (No. 194)
Unique sites:
Ce 0.3333 0.6667 0.2500 [2 per cell]
Nb 0.0000 0.0000 0.0000 [2 per cell]
Ga 0.1989 0.3978 0.7500 [6 per cell]